[1]
The following is a PBE calculation of a relaxed structure of Cu3Ag2, from OQMD via LeMat-Bulk.

Results
Energy relative to the lowest polymorph listed for this composition: 46.4 meV/atom
E_form: 0.4 eV per formula unit
Theoretical density: 9.45 Mg/m³

Unit cell a=11.5868 b=2.7626 c=9.0733 alpha=90.00 beta=100.53 gamma=90.00
Last column: nearest neighbours and their distance in Å.
Space group Cm (No. 8)
Asymmetric unit:
Cu1 0.0000 0.0000 0.0000  9 Cu 2.54-2.76, 3 Ag 2.69-2.73
Cu2 0.0063 0.5000 0.4837  5 Cu 2.55-2.76, 6 Ag 2.67-2.77
Cu3 0.0947 0.0000 0.2962  7 Cu 2.54-2.76, 5 Ag 2.76-2.84
Cu4 0.1123 0.5000 0.8153  5 Ag 2.57-2.68, 6 Cu 2.68-2.76
Cu5 0.3106 0.0000 0.9037  7 Cu 2.61-2.76, 5 Ag 2.70-2.78
Cu6 0.4148 0.0000 0.1892  8 Cu 2.54-2.76, 4 Ag 2.77-2.81
Ag1 0.1968 0.0000 0.6058  6 Cu 2.67-2.84, 6 Ag 2.76-2.90
Ag2 0.2030 0.5000 0.0964  9 Cu 2.57-2.81, 3 Ag 2.74-2.76
Ag3 0.3081 0.5000 0.3922  6 Cu 2.68-2.83, 6 Ag 2.74-2.87
Ag4 0.4179 0.5000 0.7027  7 Cu 2.68-2.77, 5 Ag 2.76-2.90

***

[2]
The following is a PBE calculation of a relaxed structure of Cu3Ag7, from OQMD via LeMat-Bulk.

Results
Energy relative to the lowest polymorph listed for this composition: 40.0 meV/atom
E_form: 0.7 eV per formula unit
Theoretical density: 9.71 Mg/m³

Unit cell a=19.4867 b=2.8974 c=5.7956 alpha=90.00 beta=98.56 gamma=90.00
Last column: nearest neighbours and their distance in Å.
Space group Cm (No. 8)
Asymmetric unit:
Cu1 0.0000 0.0000 0.0000  8 Ag 2.71-2.72, 4 Cu 2.88-2.91
Cu2 0.0017 0.0000 0.5034  8 Ag 2.72-2.74, 4 Cu 2.88-2.91
Cu3 0.1966 0.0000 0.0995  10 Ag 2.81-2.90, 2 Cu 2.90
Ag1 0.0940 0.5000 0.2918  6 Cu 2.72-2.83, 6 Ag 2.82-2.97
Ag2 0.0942 0.5000 0.8050  6 Cu 2.71-2.82, 6 Ag 2.82-2.97
Ag3 0.1962 0.0000 0.5994  10 Ag 2.86-2.90, 2 Cu 2.90
Ag4 0.2979 0.5000 0.3934  2 Cu 2.81, 10 Ag 2.82-2.98
Ag5 0.2980 0.5000 0.9072  2 Cu 2.81, 10 Ag 2.82-2.98
Ag6 0.4070 0.0000 0.7042  4 Cu 2.72-2.74, 8 Ag 2.89-2.96
Ag7 0.4087 0.0000 0.2064  4 Cu 2.71-2.72, 8 Ag 2.89-2.94

***

[3]
The following is a PBE calculation of a relaxed structure of CuAg, from OQMD via LeMat-Bulk.

Results
E_form: 0.2 eV per formula unit
Theoretical density: 9.52 Mg/m³

Unit cell a=9.1851 b=2.8058 c=9.4891 alpha=90.00 beta=102.01 gamma=90.00
Last column: nearest neighbours and their distance in Å.
Space group C2/m (No. 12)
Asymmetric unit:
Cu1 0.0000 0.0000 0.0000  8 Cu 2.59-2.83, 4 Ag 2.67
Cu2 0.0000 0.0000 0.5000  10 Ag 2.77-2.85, 2 Cu 2.81
Cu3 0.2336 0.5000 0.1060  6 Cu 2.52-2.81, 3 Ag 2.77-2.80
Ag1 0.0138 0.5000 0.7642  7 Cu 2.67-2.85, 5 Ag 2.74-2.84
Ag2 0.2481 0.0000 0.3687  7 Ag 2.74-2.85, 5 Cu 2.77-2.84